No. 1
A relaxed BeZnH2Se crystal. Source: Alexandria via LeMat-Bulk, functional PBE.

Values from the calculation:
* D(E_F): 0.7 states/eV per cell
* volume: 14.01 A^3/atom
* total energy: -12.6 eV per formula unit

Unit cell a=3.4452 b=3.4452 c=5.9027 alpha=90.00 beta=90.00 gamma=90.00
Last column: nearest neighbours and their distance in Å.
Space group P4/mmm (No. 123)
Asymmetric unit:
Be 0.0000 0.0000 0.0000 [1 per cell]  4 Zn 2.44
Zn 0.5000 0.5000 0.0000 [1 per cell]  4 Be 2.44
H 0.0000 0.5000 0.5000 [2 per cell]  2 Se 1.72
Se 0.5000 0.5000 0.5000 [1 per cell]  4 H 1.72

No. 2
A relaxed BeSiH crystal. Source: Alexandria via LeMat-Bulk, functional PBE.

Values from the calculation:
* D(E_F): 0.9 states/eV per cell
* volume: 11.40 A^3/atom
* energy relative to the lowest polymorph listed for this composition: 0.468 eV per formula unit
* total energy: -11.8 eV per formula unit

Unit cell a=2.4390 b=5.2952 c=5.2980 alpha=90.00 beta=90.00 gamma=90.00
Last column: nearest neighbours and their distance in Å.
Space group Pmmm (No. 47)
Asymmetric unit:
Be 0.0000 0.1966 0.0000 [2 per cell]  2 H 1.49
Si 0.5000 0.5000 0.2578 [2 per cell]  4 Be 2.44, 3 Si 2.44-2.57
H 0.0000 0.0000 0.2012 [2 per cell]  2 Be 1.49

No. 3
A relaxed BeSiH crystal. Source: Alexandria via LeMat-Bulk, functional PBE.

Values from the calculation:
* D(E_F): 1.5 states/eV per cell
* volume: 9.55 A^3/atom
* energy relative to the lowest polymorph listed for this composition: 0.800 eV per formula unit
* total energy: -11.4 eV per formula unit

Unit cell a=3.6484 b=3.2887 c=4.7748 alpha=90.00 beta=90.05 gamma=90.00
Last column: nearest neighbours and their distance in Å.
Space group Cm (No. 8)
Asymmetric unit:
Be 0.0000 0.0000 0.0000 [2 per cell]  1 H 1.47
Si 0.1452 0.0000 0.5012 [2 per cell]  2 Be 2.44-2.45, 4 Si 2.46
H 0.0959 0.5000 0.0022 [2 per cell]  1 Be 1.47

No. 4
A relaxed BeSiH crystal. Source: Alexandria via LeMat-Bulk, functional PBE.

Values from the calculation:
* D(E_F): 0.8 states/eV per cell
* volume: 11.61 A^3/atom
* energy relative to the lowest polymorph listed for this composition: 0.568 eV per formula unit
* total energy: -11.7 eV per formula unit

Unit cell a=2.4139 b=5.7465 c=2.5142 alpha=90.00 beta=92.86 gamma=90.00
Last column: nearest neighbours and their distance in Å.
Space group P2 (No. 3)
Asymmetric unit:
Be 0.0000 0.0000 0.0000 [1 per cell]  2 H 1.48
Si 0.0000 0.6549 0.5000 [1 per cell]  2 Be 2.35, 4 Si 2.41-2.51
H 0.5000 0.1483 0.0000 [1 per cell]  2 Be 1.48

No. 5
A relaxed BeSiH2 crystal. Source: Alexandria via LeMat-Bulk, functional PBE.

Values from the calculation:
* D(E_F): 2.8 states/eV per cell
* volume: 8.69 A^3/atom
* energy relative to the lowest polymorph listed for this composition: 0.000 eV per formula unit
* total energy: -13.7 eV per formula unit

Unit cell a=4.4246 b=4.4246 c=7.1035 alpha=90.00 beta=90.00 gamma=90.00
Last column: nearest neighbours and their distance in Å.
Space group I-42d (No. 122)
Asymmetric unit:
Be 0.0000 0.0000 0.0000 [4 per cell]  4 H 1.46
Si 0.0000 0.0000 0.5000 [4 per cell]  4 H 2.34
H 0.0780 0.2500 0.1250 [8 per cell]  2 Be 1.46

No. 6
A relaxed Be2SiH crystal. Source: Alexandria via LeMat-Bulk, functional PBE.

Values from the calculation:
* D(E_F): 6.3 states/eV per cell
* volume: 9.50 A^3/atom
* energy relative to the lowest polymorph listed for this composition: 1.243 eV per formula unit
* total energy: -13.6 eV per formula unit

Unit cell a=5.3367 b=5.3367 c=5.3367 alpha=90.00 beta=90.00 gamma=90.00
Last column: nearest neighbours and their distance in Å.
Space group Fm-3m (No. 225)
Asymmetric unit:
Be 0.2500 0.2500 0.2500 [8 per cell]  4 H 2.31, 4 Si 2.31
Si 0.0000 0.0000 0.0000 [4 per cell]  8 Be 2.31
H 0.0000 0.0000 0.5000 [4 per cell]  8 Be 2.31

No. 7
A relaxed BeSiH3 crystal. Source: Alexandria via LeMat-Bulk, functional PBE.

Values from the calculation:
* D(E_F): 1.1 states/eV per cell
* volume: 8.40 A^3/atom
* energy relative to the lowest polymorph listed for this composition: 1.019 eV per formula unit
* total energy: -15.0 eV per formula unit

Unit cell a=3.4755 b=3.4755 c=3.4755 alpha=90.00 beta=90.00 gamma=90.00
Last column: nearest neighbours and their distance in Å.
Space group Pm-3m (No. 221)
Asymmetric unit:
Be 0.0000 0.0000 0.0000 [1 per cell]  12 H 2.46
Si 0.5000 0.5000 0.5000 [1 per cell]  6 H 1.74
H 0.0000 0.5000 0.5000 [3 per cell]  2 Si 1.74

No. 8
A relaxed BeSiH crystal. Source: Alexandria via LeMat-Bulk, functional PBE.

Values from the calculation:
* D(E_F): 0.0 states/eV per cell
* volume: 12.15 A^3/atom
* energy relative to the lowest polymorph listed for this composition: 0.198 eV per formula unit
* total energy: -12.0 eV per formula unit

Unit cell a=3.8417 b=3.8770 c=5.5579 alpha=70.85 beta=69.94 gamma=89.69
Last column: nearest neighbours and their distance in Å.
Space group P1 (No. 1)
Asymmetric unit:
Be 0.0000 0.0000 0.0000 [1 per cell]  2 H 1.42-1.50
Be 0.1217 0.5706 0.7511 [1 per cell]  1 H 1.43
Si 0.3047 0.6861 0.3028 [1 per cell]  1 H 1.67
Si 0.4954 0.3317 0.0093 [1 per cell]  4 Be 2.32-2.35, 2 Si 2.39-2.45
H 0.1167 0.9414 0.7460 [1 per cell]  2 Be 1.42-1.43
H 0.8836 0.7025 0.2758 [1 per cell]  1 Be 1.50, 1 Si 1.67

No. 9
A relaxed BeSiH crystal. Source: Alexandria via LeMat-Bulk, functional PBE.

Values from the calculation:
* D(E_F): 0.1 states/eV per cell
* volume: 10.75 A^3/atom
* energy relative to the lowest polymorph listed for this composition: 0.279 eV per formula unit
* total energy: -11.9 eV per formula unit

Unit cell a=3.8172 b=3.8193 c=5.4666 alpha=70.10 beta=86.36 gamma=60.26
Last column: nearest neighbours and their distance in Å.
Space group P1 (No. 1)
Asymmetric unit:
Be 0.0000 0.0000 0.0000 [1 per cell]  3 Be 2.16-2.29, 4 Si 2.22-2.34
Be 0.3446 0.3597 0.9613 [1 per cell]  1 H 1.58
Si 0.6995 0.2346 0.5971 [1 per cell]  2 H 1.52-1.60
Si 0.6996 0.5851 0.1454 [1 per cell]  6 Be 2.30-2.45, 1 Si 2.37
H 0.2525 0.5392 0.6515 [1 per cell]  1 Be 1.58, 1 Si 1.60
H 0.5813 0.9253 0.5665 [1 per cell]  1 Si 1.52

No. 10
A relaxed BeSiH crystal. Source: Alexandria via LeMat-Bulk, functional PBE.

Values from the calculation:
* D(E_F): 0.3 states/eV per cell
* volume: 11.31 A^3/atom
* energy relative to the lowest polymorph listed for this composition: 0.345 eV per formula unit
* total energy: -11.9 eV per formula unit

Unit cell a=2.7710 b=3.9043 c=6.4438 alpha=86.77 beta=84.55 gamma=78.18
Last column: nearest neighbours and their distance in Å.
Space group P1 (No. 1)
Asymmetric unit:
Be 0.0000 0.0000 0.0000 [1 per cell]  2 H 1.41-1.45
Be 0.3488 0.4241 0.8116 [1 per cell]  2 H 1.41-1.54
Si 0.3800 0.5695 0.4745 [1 per cell]  1 Be 2.21, 2 Si 2.35
Si 0.4180 0.0833 0.2702 [1 per cell]  2 Be 2.25, 2 Si 2.35
H 0.1586 0.6354 0.9826 [1 per cell]  2 Be 1.41
H 0.9362 0.2125 0.8090 [1 per cell]  2 Be 1.45-1.54

No. 11
A relaxed BeSiH crystal. Source: Alexandria via LeMat-Bulk, functional PBE.

Values from the calculation:
* D(E_F): 0.6 states/eV per cell
* volume: 11.28 A^3/atom
* energy relative to the lowest polymorph listed for this composition: 0.052 eV per formula unit
* total energy: -12.2 eV per formula unit

Unit cell a=2.7890 b=6.2251 c=3.8980 alpha=90.00 beta=90.00 gamma=90.00
Last column: nearest neighbours and their distance in Å.
Space group Pmc2_1 (No. 26)
Asymmetric unit:
Be 0.0000 0.1123 0.0000 [2 per cell]  2 H 1.42-1.43
Si 0.5000 0.3951 0.9120 [2 per cell]  2 Be 2.27, 2 Si 2.35
H 0.0000 0.0998 0.3662 [2 per cell]  2 Be 1.42-1.43

No. 12
A relaxed BeSiH crystal. Source: Alexandria via LeMat-Bulk, functional PBE.

Values from the calculation:
* D(E_F): 2.8 states/eV per cell
* volume: 11.45 A^3/atom
* energy relative to the lowest polymorph listed for this composition: 1.262 eV per formula unit
* total energy: -11.0 eV per formula unit

Unit cell a=4.5264 b=4.5281 c=6.7058 alpha=90.00 beta=90.06 gamma=90.00
Last column: nearest neighbours and their distance in Å.
Space group Cc (No. 9)
Asymmetric unit:
Be 0.0000 0.0006 0.0000 [4 per cell]  4 Si 2.29-2.34, 1 H 2.56
Si 0.2503 0.2479 0.7460 [4 per cell]  2 H 1.65
H 0.0126 0.4898 0.3054 [4 per cell]  2 Si 1.65